# 1
The following is a DFT calculation (PBE) of an optimized crystal structure of ThTlTc.

a b c (Å): 4.591 4.591 8.186
angles (deg): 103.37 103.37 68.10
Fractional coordinates of all 6 atoms:
Th (0.229, 0.229, 0.356)
Th (0.771, 0.771, 0.644)
Tl (0.451, 0.451, 0.815)
Tl (0.549, 0.549, 0.185)
Tc (0.154, 0.154, 0.993)
Tc (0.846, 0.846, 0.007)

The value obtained for the energy above the most stable polymorph in this dataset is 517.4 meV/atom. The magnetic moment is 0.0 μB/cell. The calculation puts the total energy at -37.9 eV for the cell shown. The calculation puts the density of states at the Fermi level at 4.49 states/eV per cell.

# 2
The following is a DFT calculation (PBE) of an optimized crystal structure of TmThTlTc.

a b c (Å): 5.173 5.173 5.173
angles (deg): 60.00 60.00 60.00
Fractional coordinates of all 4 atoms:
Tm (0.000, 0.000, 0.000)
Th (0.500, 0.500, 0.500)
Tl (0.250, 0.250, 0.250)
Tc (0.750, 0.750, 0.750)

The magnetic moment is 0.0 μB/cell. The calculation puts the total energy at -24.7 eV for the cell shown. The calculation puts the density of states at the Fermi level at 2.62 states/eV per cell.

# 3
The following is a DFT calculation (PBE) of an optimized crystal structure of Tm3Th3Tl2Tc.

a b c (Å): 8.762 8.762 3.808
angles (deg): 90.00 90.00 120.00
Fractional coordinates of all 9 atoms:
Tm (0.000, 0.605, 0.000)
Tm (0.395, 0.395, 0.000)
Tm (0.605, 0.000, 0.000)
Th (0.000, 0.246, 0.500)
Th (0.246, 0.000, 0.500)
Th (0.754, 0.754, 0.500)
Tl (0.333, 0.667, 0.500)
Tl (0.667, 0.333, 0.500)
Tc (0.000, 0.000, 0.000)

The magnetic moment is 0.0 μB/cell. The calculation puts the total energy at -52.6 eV for the cell shown. The calculation puts the density of states at the Fermi level at 10.58 states/eV per cell.

# 4
The following is a DFT calculation (PBE) of an optimized crystal structure of Th2TlZnTc.

a b c (Å): 8.151 4.056 8.221
angles (deg): 90.00 109.92 90.00
Fractional coordinates of all 10 atoms:
Th (0.104, 0.250, 0.339)
Th (0.281, 0.250, 0.989)
Th (0.719, 0.750, 0.011)
Th (0.896, 0.750, 0.661)
Tl (0.320, 0.750, 0.678)
Tl (0.680, 0.250, 0.322)
Zn (0.437, 0.750, 0.359)
Zn (0.563, 0.250, 0.641)
Tc (0.130, 0.750, 0.111)
Tc (0.870, 0.250, 0.889)

The magnetic moment is 0.0 μB/cell. The calculation puts the total energy at -59.3 eV for the cell shown. The calculation puts the density of states at the Fermi level at 7.38 states/eV per cell.

# 5
The following is a DFT calculation (PBE) of an optimized crystal structure of TmThTc2.

a b c (Å): 8.635 8.635 8.635
angles (deg): 23.02 23.02 23.02
Fractional coordinates of all 4 atoms:
Tm (0.000, 0.000, 0.000)
Th (0.500, 0.500, 0.500)
Tc (0.246, 0.246, 0.246)
Tc (0.754, 0.754, 0.754)

The value obtained for the energy above the most stable polymorph in this dataset is 304.1 meV/atom. The magnetic moment is 0.0 μB/cell. The calculation puts the total energy at -31.7 eV for the cell shown. The calculation puts the density of states at the Fermi level at 3.00 states/eV per cell.

# 6
The following is a DFT calculation (PBE) of an optimized crystal structure of TmTh2Tc.

a b c (Å): 10.464 10.464 10.464
angles (deg): 21.01 21.01 21.01
Fractional coordinates of all 4 atoms:
Tm (0.000, 0.000, 0.000)
Th (0.111, 0.111, 0.111)
Th (0.889, 0.889, 0.889)
Tc (0.500, 0.500, 0.500)

The value obtained for the energy above the most stable polymorph in this dataset is 467.6 meV/atom. The magnetic moment is 0.0 μB/cell. The calculation puts the total energy at -28.3 eV for the cell shown. The calculation puts the density of states at the Fermi level at 5.01 states/eV per cell.